This record from Alexandria via LeMat-Bulk describes Tl2InGeO at its PBEsol-relaxed geometry. The functional is SCAN.

Output
Size of the total moment (μB/cell): 0.00
Calculated total energy (eV/f.u.): -203.50
D(E_F) (states/eV/f.u.): 1.813
Formation energy (no corrections) (kJ/mol of formula units): -8

Cell lengths 4.2232, 5.2384, 5.2384 Å; angles 90.00, 90.00, 90.00 degrees
With the nearest neighbours (Å) after each atom.
Atoms (fractional coordinates):
Tl1 0.0000 0.0000 0.5000  2 O 2.62
Tl2 0.0000 0.5000 0.0000  2 O 2.62
Ge1 0.5000 0.5000 0.5000  8 Tl 3.36, 4 In 3.70
O1 0.0000 0.0000 0.0000  2 In 2.11
In1 0.5000 0.0000 0.0000  2 O 2.11


This record from Alexandria via LeMat-Bulk describes KLiSc at its PBEsol-relaxed geometry. The functional is SCAN.

Output
Size of the total moment (μB/cell): 1.89
Calculated total energy (eV/f.u.): -22.24
D(E_F) (states/eV/f.u.): 5.300
Energy relative to the elements (eV per atom): 0.9040
Energy above the lowest structure with this stoichiometry (meV per atom): 464

Cell lengths 5.4185, 5.4185, 5.4185 Å; angles 60.00, 60.00, 60.00 degrees
With the nearest neighbours (Å) after each atom.
Atoms (fractional coordinates):
Sc1 0.0000 0.0000 0.0000  4 Li 3.32
K1 0.5000 0.5000 0.5000  4 Li 3.32
Li1 0.2500 0.2500 0.2500  4 K 3.32, 4 Sc 3.32


This record from Alexandria via LeMat-Bulk describes Sr3HgI at its PBEsol-relaxed geometry. The functional is SCAN.

Output
Size of the total moment (μB/cell): 1.38
Calculated total energy (eV/f.u.): -172.63
D(E_F) (states/eV/f.u.): 4.614
Formation energy (no corrections) (kJ/mol of formula units): -87

Cell lengths 6.1081, 6.1081, 6.1081 Å; angles 90.00, 90.00, 90.00 degrees
With the nearest neighbours (Å) after each atom.
Atoms (fractional coordinates):
I1 0.0000 0.0000 0.0000  6 Sr 3.05
Sr1 0.0000 0.5000 0.0000  2 I 3.05
Sr2 0.0000 0.0000 0.5000  2 I 3.05
Sr3 0.5000 0.0000 0.0000  2 I 3.05
Hg1 0.5000 0.5000 0.5000  12 Sr 4.32


This record from Alexandria via LeMat-Bulk describes NiTePb3 at its PBEsol-relaxed geometry. The functional is SCAN.

Output
Size of the total moment (μB/cell): 1.51
Calculated total energy (eV/f.u.): -275.02
D(E_F) (states/eV/f.u.): 6.653
Formation energy (no corrections) (kJ/mol of formula units): 554

Cell lengths 5.8593, 5.8593, 5.8593 Å; angles 90.00, 90.00, 90.00 degrees
With the nearest neighbours (Å) after each atom.
Atoms (fractional coordinates):
Pb1 0.0000 0.5000 0.0000  2 Te 2.93
Pb2 0.0000 0.0000 0.5000  2 Te 2.93
Pb3 0.5000 0.0000 0.0000  2 Te 2.93
Ni1 0.5000 0.5000 0.5000  12 Pb 4.14
Te1 0.0000 0.0000 0.0000  6 Pb 2.93


Q: Number 1 is which compound?
A: Tl2InGeO